(1)
Compound: InTeN2O
Source: the Alexandria database
Functional: PBE-GGA
Structure: relaxed

The value obtained for the total energy is -3.741 eV per atom.

It has space group P4/mmm (No. 123), with a = 4.188 Å, b = 4.188 Å, c = 4.242 Å, α = 90.00°, β = 90.00° and γ = 90.00°. The distinct sites, in fractional coordinates, are In at (0.000, 0.000, 0.000), Te at (0.500, 0.500, 0.000), N at (0.000, 0.500, 0.500) and O at (0.500, 0.500, 0.500).

***

(2)
Compound: InTeNO2
Source: the Alexandria database
Functional: PBE-GGA
Structure: relaxed

The value obtained for the total energy is -4.853 eV per atom.

It has space group P4/mmm (No. 123), with a = 4.073 Å, b = 4.073 Å, c = 4.275 Å, α = 90.00°, β = 90.00° and γ = 90.00°. The distinct sites, in fractional coordinates, are In at (0.000, 0.000, 0.000), Te at (0.500, 0.500, 0.500), N at (0.500, 0.500, 0.000) and O at (0.000, 0.500, 0.500).

***

(3)
Compound: InTeN2O
Source: the Alexandria database
Functional: PBE-GGA
Structure: relaxed

The value obtained for the total energy is -4.826 eV per atom.

It has space group P4/mmm (No. 123), with a = 4.123 Å, b = 4.123 Å, c = 3.951 Å, α = 90.00°, β = 90.00° and γ = 90.00°. The distinct sites, in fractional coordinates, are In at (0.000, 0.000, 0.000), Te at (0.500, 0.500, 0.500), N at (0.000, 0.500, 0.500) and O at (0.500, 0.500, 0.000).

***

(4)
Compound: Ti6In2NO
Source: the Alexandria database
Functional: PBE-GGA
Structure: relaxed

The value obtained for the total energy is -7.600 eV per atom.

It has space group I4/mmm (No. 139), with a = 5.847 Å, b = 5.847 Å, c = 8.733 Å, α = 90.00°, β = 90.00° and γ = 90.00°. The distinct sites, in fractional coordinates, are Ti at (0.000, 0.000, 0.247), Ti at (0.248, 0.248, 0.000), In at (0.000, 0.500, 0.250), N at (0.000, 0.000, 0.000) and O at (0.000, 0.000, 0.500).

***

(5)
Compound: TiInN2O
Source: the Alexandria database
Functional: PBE-GGA
Structure: relaxed

The value obtained for the total energy is -6.807 eV per atom.

It has space group P4/mmm (No. 123), with a = 4.076 Å, b = 4.076 Å, c = 3.818 Å, α = 90.00°, β = 90.00° and γ = 90.00°. The distinct sites, in fractional coordinates, are Ti at (0.000, 0.000, 0.000), In at (0.500, 0.500, 0.500), N at (0.000, 0.500, 0.000) and O at (0.000, 0.000, 0.500).

***

(6)
Compound: TiInN2O
Source: the Alexandria database
Functional: PBE-GGA
Structure: relaxed

The value obtained for the total energy is -5.631 eV per atom.

It has space group P4/mmm (No. 123), with a = 4.102 Å, b = 4.102 Å, c = 4.011 Å, α = 90.00°, β = 90.00° and γ = 90.00°. The distinct sites, in fractional coordinates, are Ti at (0.000, 0.000, 0.000), In at (0.500, 0.500, 0.500), N at (0.000, 0.500, 0.500) and O at (0.500, 0.500, 0.000).

***

(7)
Compound: TlInNO2
Source: the Alexandria database
Functional: PBE-GGA
Structure: relaxed

The value obtained for the total energy is -4.456 eV per atom.

It has space group P4/mmm (No. 123), with a = 4.312 Å, b = 4.312 Å, c = 4.400 Å, α = 90.00°, β = 90.00° and γ = 90.00°. The distinct sites, in fractional coordinates, are Tl at (0.000, 0.000, 0.000), In at (0.500, 0.500, 0.500), N at (0.500, 0.500, 0.000) and O at (0.000, 0.500, 0.500).

***

(8)
Compound: TlInNO2
Source: the Alexandria database
Functional: PBE-GGA
Structure: relaxed

The value obtained for the total energy is -4.000 eV per atom.

It has space group P4/mmm (No. 123), with a = 4.189 Å, b = 4.189 Å, c = 4.416 Å, α = 90.00°, β = 90.00° and γ = 90.00°. The distinct sites, in fractional coordinates, are Tl at (0.000, 0.000, 0.000), In at (0.500, 0.500, 0.500), N at (0.000, 0.000, 0.500) and O at (0.000, 0.500, 0.000).